The following is a DFT calculation (SCAN) of a crystal of Ti2CoSi relaxed with PBEsol.

a = 4.205 Å, b = 4.205 Å, c = 4.205 Å
α = 60.00°, β = 60.00°, γ = 60.00°
Last column: magnetic moment on the atom in μB.
Fractional coordinates of all 4 atoms:
Ti1 0.000 0.000 0.000  1.69
Ti2 0.750 0.750 0.750  0.88
Co1 0.500 0.500 0.500  0.11
Si1 0.250 0.250 0.250  -0.05

Summary:
The calculated total energy is -15.27 eV per atom. As for the space group: F-43m. The calculation puts the formation energy (no corrections) at -0.43 eV per atom. Its spin magnetization is 3.00 μB per cell.